DFT (PBE) results for an optimized crystal structure of KMo2Se.

Output
Total DFT energy (no corrections) (eV per atom): -5.698

```
data_KMo2Se
_chemical_formula_sum 'K1 Mo2 Se1'
_symmetry_space_group_name_H-M 'P 1 2/m 1'
_symmetry_Int_Tables_number 10
_cell_length_a 2.733
_cell_length_b 5.555
_cell_length_c 5.455
_cell_angle_alpha 90.00
_cell_angle_beta 91.73
_cell_angle_gamma 90.00
loop_
_symmetry_equiv_pos_as_xyz
'x,y,z'
'-x,-y,-z'
'-x,y,-z'
'x,-y,z'
loop_
_atom_site_label
_atom_site_type_symbol
_atom_site_fract_x
_atom_site_fract_y
_atom_site_fract_z
_atom_site_occupancy
K1 K 0.000 0.000 0.000 1
Mo1 Mo 0.413 0.500 0.710 1
Se1 Se 0.500 0.000 0.500 1
```